The following is a DFT calculation (PBE) of a geometry-optimized CuSiPd structure.

Computed properties:
Crystal system ... monoclinic
Formation energy from raw total energies ... -3.342 kcal/mol of atoms
SG ... C2/m, No. 12

Cell and atoms, written as POSCAR:
```
CuSiPd
1.0
2.495 -1.437 0.000
2.495 1.437 0.000
-1.695 0.000 11.717
Cu Si Pd
2 2 2
direct
0.196 0.196 0.087
0.804 0.804 0.913
0.419 0.419 0.757
0.581 0.581 0.243
0.300 0.300 0.396
0.700 0.700 0.604
```



The following is a DFT calculation (PBE) of a geometry-optimized CuSiPd2 structure.

Computed properties:
Crystal system ... monoclinic
Formation energy from raw total energies ... -6.659 kcal/mol of atoms
SG ... P2_1/c, No. 14

Cell and atoms, written as POSCAR:
```
CuSiPd2
1.0
6.641 0.000 0.000
0.000 6.505 0.000
-0.060 0.000 5.528
Cu Si Pd
4 4 8
direct
0.123 0.073 0.350
0.123 0.427 0.850
0.877 0.573 0.150
0.877 0.927 0.650
0.353 0.547 0.166
0.353 0.953 0.666
0.647 0.047 0.334
0.647 0.453 0.834
0.146 0.676 0.484
0.146 0.824 0.984
0.410 0.196 0.023
0.410 0.304 0.523
0.590 0.696 0.477
0.590 0.804 0.977
0.854 0.176 0.016
0.854 0.324 0.516
```



The following is a DFT calculation (PBE) of a geometry-optimized Cu5SiPd8 structure.

Computed properties:
Crystal system ... tetragonal
Formation energy from raw total energies ... -2.995 kcal/mol of atoms
SG ... I-4, No. 82

Cell and atoms, written as POSCAR:
```
Cu5SiPd8
1.0
-3.642 3.642 3.879
3.642 -3.642 3.879
3.642 3.642 -3.879
Cu Si Pd
5 1 8
direct
0.000 0.000 0.000
0.212 0.033 0.596
0.384 0.788 0.821
0.437 0.616 0.404
0.967 0.563 0.179
0.750 0.250 0.500
0.080 0.318 0.409
0.166 0.414 0.892
0.329 0.920 0.238
0.522 0.274 0.108
0.586 0.478 0.752
0.682 0.091 0.762
0.726 0.834 0.248
0.909 0.671 0.591
```